# 1
Compound: KAs2Se
Source: Alexandria via LeMat-Bulk
Functional: PBE
Structure: relaxed

Structure (CIF):
```
data_KAs2Se
_chemical_formula_sum 'K2 As4 Se2'
_cell_length_a 4.795
_cell_length_b 4.795
_cell_length_c 8.117
_cell_angle_alpha 90.00
_cell_angle_beta 90.00
_cell_angle_gamma 90.00
_symmetry_space_group_name_H-M 'I -4 m 2'
_symmetry_Int_Tables_number 119
_symmetry_space_group_name_Hall 'I -4 -2'
loop_
_atom_site_label
_atom_site_fract_x
_atom_site_fract_y
_atom_site_fract_z
K1 0.000 0.000 0.000
As1 0.000 0.000 0.500
As2 0.000 0.500 0.250
Se1 0.000 0.500 0.750
```

Computed properties:
Formation energy from raw total energies ... 0.143 eV per atom

# 2
Compound: Tm2Zn3Au4
Source: Alexandria via LeMat-Bulk
Functional: PBE
Structure: relaxed

Structure (CIF):
```
data_Tm2Zn3Au4
_chemical_formula_sum 'Tm8 Zn12 Au16'
_cell_length_a 5.681
_cell_length_b 15.178
_cell_length_c 8.007
_cell_angle_alpha 90.00
_cell_angle_beta 90.00
_cell_angle_gamma 90.00
_symmetry_space_group_name_H-M 'C m c e'
_symmetry_Int_Tables_number 64
_symmetry_space_group_name_Hall '-C 2ac 2'
loop_
_atom_site_label
_atom_site_fract_x
_atom_site_fract_y
_atom_site_fract_z
Tm1 0.000 0.113 0.088
Zn1 0.000 0.000 0.500
Zn2 0.250 0.225 0.750
Au1 0.000 0.183 0.469
Au2 0.250 0.050 0.750
```

Computed properties:
E_form ... -0.560 eV/atom

# 3
Compound: InP2AuS
Source: Alexandria via LeMat-Bulk
Functional: PBE
Structure: relaxed

Structure (CIF):
```
data_InP2AuS
_chemical_formula_sum 'In1 P2 Au1 S1'
_cell_length_a 4.852
_cell_length_b 4.852
_cell_length_c 5.071
_cell_angle_alpha 90.00
_cell_angle_beta 90.00
_cell_angle_gamma 90.00
_symmetry_space_group_name_H-M 'P 4/m m m'
_symmetry_Int_Tables_number 123
_symmetry_space_group_name_Hall '-P 4 2'
loop_
_atom_site_label
_atom_site_fract_x
_atom_site_fract_y
_atom_site_fract_z
In1 0.000 0.000 0.000
P1 0.000 0.500 0.500
Au1 0.500 0.500 0.500
S1 0.500 0.500 0.000
```

Computed properties:
ΔE to the lowest computed polymorph ... 0 meV/atom
Formation energy from raw total energies ... 0.813 eV per atom

# 4
Compound: La3Y
Source: Alexandria via LeMat-Bulk
Functional: PBE
Structure: relaxed

Structure (CIF):
```
data_La3Y
_chemical_formula_sum 'La6 Y2'
_cell_length_a 12.196
_cell_length_b 3.701
_cell_length_c 6.387
_cell_angle_alpha 90.00
_cell_angle_beta 100.04
_cell_angle_gamma 90.00
_symmetry_space_group_name_H-M 'C 1 2/m 1'
_symmetry_Int_Tables_number 12
loop_
_symmetry_equiv_pos_as_xyz
'x,y,z'
'-x,-y,-z'
'-x,y,-z'
'x,-y,z'
'x+1/2,y+1/2,z'
'-x+1/2,-y+1/2,-z'
'-x+1/2,y+1/2,-z'
'x+1/2,-y+1/2,z'
loop_
_atom_site_label
_atom_site_fract_x
_atom_site_fract_y
_atom_site_fract_z
La1 0.000 0.000 0.000
La2 0.249 0.000 0.748
Y1 0.000 0.500 0.500
```

Computed properties:
E_form ... 0.010 eV/atom

# 5
Compound: Cr3RhW
Source: Alexandria via LeMat-Bulk
Functional: PBE
Structure: relaxed

Structure (CIF):
```
data_Cr3RhW
_chemical_formula_sum 'Cr3 Rh1 W1'
_cell_length_a 4.550
_cell_length_b 4.550
_cell_length_c 4.550
_cell_angle_alpha 90.00
_cell_angle_beta 90.00
_cell_angle_gamma 90.00
_symmetry_space_group_name_H-M 'P m -3 m'
_symmetry_Int_Tables_number 221
_symmetry_space_group_name_Hall '-P 4 2 3'
loop_
_atom_site_label
_atom_site_fract_x
_atom_site_fract_y
_atom_site_fract_z
Cr1 0.000 0.000 0.500
Rh1 0.000 0.000 0.000
W1 0.500 0.500 0.500
```

Computed properties:
ΔE to the lowest computed polymorph ... 0 meV/atom
E_form ... 1.727 eV/atom

# 6
Compound: Ba2MgI
Source: Alexandria via LeMat-Bulk
Functional: PBE
Structure: relaxed

Structure (CIF):
```
data_Ba2MgI
_chemical_formula_sum 'Ba6 Mg3 I3'
_cell_length_a 4.7662
_cell_length_b 4.7662
_cell_length_c 28.7654
_cell_angle_alpha 90.00
_cell_angle_beta 90.00
_cell_angle_gamma 120.00
_symmetry_space_group_name_H-M 'R -3 m'
_symmetry_Int_Tables_number 166
_symmetry_space_group_name_Hall '-R 3 2"'
loop_
_atom_site_label
_atom_site_fract_x
_atom_site_fract_y
_atom_site_fract_z
Ba1 0.0000 0.0000 0.2503
Mg1 0.0000 0.0000 0.0000
I1 0.0000 0.0000 0.5000
```

Computed properties:
ΔE to the lowest computed polymorph ... 24 meV/atom
Formation energy from raw total energies ... -0.598 eV per atom

# 7
Compound: Rb2ZnIr
Source: Alexandria via LeMat-Bulk
Functional: PBE
Structure: relaxed

Structure (CIF):
```
data_Rb2ZnIr
_chemical_formula_sum 'Rb8 Zn4 Ir4'
_cell_length_a 4.330
_cell_length_b 4.330
_cell_length_c 22.988
_cell_angle_alpha 90.00
_cell_angle_beta 90.00
_cell_angle_gamma 90.00
_symmetry_space_group_name_H-M 'I -4 2 d'
_symmetry_Int_Tables_number 122
_symmetry_space_group_name_Hall 'I -4 2bw'
loop_
_atom_site_label
_atom_site_fract_x
_atom_site_fract_y
_atom_site_fract_z
Rb1 0.248 0.250 0.125
Zn1 0.000 0.000 0.500
Ir1 0.000 0.000 0.000
```

Computed properties:
E_form ... 1.030 eV/atom

# 8
Compound: NbAl2V2
Source: Alexandria via LeMat-Bulk
Functional: PBE
Structure: relaxed

Structure (CIF):
```
data_NbAl2V2
_chemical_formula_sum 'Nb2 Al4 V4'
_cell_length_a 6.916
_cell_length_b 6.916
_cell_length_c 3.219
_cell_angle_alpha 90.00
_cell_angle_beta 90.00
_cell_angle_gamma 90.00
_symmetry_space_group_name_H-M 'P 4/m b m'
_symmetry_Int_Tables_number 127
_symmetry_space_group_name_Hall '-P 4 2ab'
loop_
_atom_site_label
_atom_site_fract_x
_atom_site_fract_y
_atom_site_fract_z
Nb1 0.000 0.000 0.000
Al1 0.127 0.373 0.000
V1 0.173 0.673 0.500
```

Computed properties:
ΔE to the lowest computed polymorph ... 92 meV/atom
E_form ... -0.115 eV/atom

# 9
Compound: BaNbSn3
Source: Alexandria via LeMat-Bulk
Functional: PBE
Structure: relaxed

Structure (CIF):
```
data_BaNbSn3
_chemical_formula_sum 'Ba1 Nb1 Sn3'
_cell_length_a 5.431
_cell_length_b 5.431
_cell_length_c 5.431
_cell_angle_alpha 90.00
_cell_angle_beta 90.00
_cell_angle_gamma 90.00
_symmetry_space_group_name_H-M 'P m -3 m'
_symmetry_Int_Tables_number 221
_symmetry_space_group_name_Hall '-P 4 2 3'
loop_
_atom_site_label
_atom_site_fract_x
_atom_site_fract_y
_atom_site_fract_z
Ba1 0.000 0.000 0.000
Nb1 0.500 0.500 0.500
Sn1 0.000 0.500 0.500
```

Computed properties:
ΔE to the lowest computed polymorph ... 0 meV/atom
E_form ... -0.225 eV/atom

# 10
Compound: TbCo4Si2
Source: Alexandria via LeMat-Bulk
Functional: PBE
Structure: relaxed

Structure (CIF):
```
data_TbCo4Si2
_chemical_formula_sum 'Tb2 Co8 Si4'
_cell_length_a 7.160
_cell_length_b 7.160
_cell_length_c 3.606
_cell_angle_alpha 90.00
_cell_angle_beta 90.00
_cell_angle_gamma 90.00
_symmetry_space_group_name_H-M 'P 42/m n m'
_symmetry_Int_Tables_number 136
_symmetry_space_group_name_Hall '-P 4n 2n'
loop_
_atom_site_label
_atom_site_fract_x
_atom_site_fract_y
_atom_site_fract_z
Tb1 0.000 0.000 0.000
Co1 0.080 0.348 0.500
Si1 0.225 0.775 0.500
```

Computed properties:
Formation energy from raw total energies ... -0.547 eV per atom

# 11
Compound: LaTbTlPt
Source: Alexandria via LeMat-Bulk
Functional: PBE
Structure: relaxed

Structure (CIF):
```
data_LaTbTlPt
_chemical_formula_sum 'La4 Tb4 Tl4 Pt4'
_cell_length_a 7.495
_cell_length_b 7.495
_cell_length_c 7.495
_cell_angle_alpha 90.00
_cell_angle_beta 90.00
_cell_angle_gamma 90.00
_symmetry_space_group_name_H-M 'F -4 3 m'
_symmetry_Int_Tables_number 216
_symmetry_space_group_name_Hall 'F -4 2 3'
loop_
_atom_site_label
_atom_site_fract_x
_atom_site_fract_y
_atom_site_fract_z
La1 0.000 0.000 0.000
Tb1 0.000 0.000 0.500
Tl1 0.250 0.250 0.250
Pt1 0.250 0.250 0.750
```

Computed properties:
E_form ... -0.637 eV/atom

# 12
Compound: ReSe2Br
Source: Alexandria via LeMat-Bulk
Functional: PBE
Structure: relaxed

Structure (CIF):
```
data_ReSe2Br
_chemical_formula_sum 'Re2 Se4 Br2'
_cell_length_a 2.992
_cell_length_b 5.350
_cell_length_c 11.037
_cell_angle_alpha 90.00
_cell_angle_beta 90.00
_cell_angle_gamma 90.00
_symmetry_space_group_name_H-M 'C m m 2'
_symmetry_Int_Tables_number 35
loop_
_symmetry_equiv_pos_as_xyz
'x,y,z'
'-x,-y,z'
'-x,y,z'
'x,-y,z'
'x+1/2,y+1/2,z'
'-x+1/2,-y+1/2,z'
'-x+1/2,y+1/2,z'
'x+1/2,-y+1/2,z'
loop_
_atom_site_label
_atom_site_fract_x
_atom_site_fract_y
_atom_site_fract_z
Re1 0.000 0.000 0.000
Se1 0.000 0.000 0.489
Se2 0.000 0.500 0.179
Br1 0.000 0.500 0.804
```

Computed properties:
ΔE to the lowest computed polymorph ... 637 meV/atom
Formation energy from raw total energies ... 0.628 eV per atom

# 13
Compound: CrCuHg2
Source: Alexandria via LeMat-Bulk
Functional: PBE
Structure: relaxed

Structure (CIF):
```
data_CrCuHg2
_chemical_formula_sum 'Cr2 Cu2 Hg4'
_cell_length_a 10.115
_cell_length_b 3.167
_cell_length_c 4.756
_cell_angle_alpha 90.00
_cell_angle_beta 105.87
_cell_angle_gamma 90.00
_symmetry_space_group_name_H-M 'C 1 m 1'
_symmetry_Int_Tables_number 8
loop_
_symmetry_equiv_pos_as_xyz
'x,y,z'
'x,-y,z'
'x+1/2,y+1/2,z'
'x+1/2,-y+1/2,z'
loop_
_atom_site_label
_atom_site_fract_x
_atom_site_fract_y
_atom_site_fract_z
Cr1 0.000 0.000 0.000
Cu1 0.213 0.500 0.285
Hg1 0.247 0.000 0.814
Hg2 0.467 0.000 0.474
```

Computed properties:
ΔE to the lowest computed polymorph ... 39 meV/atom
E_form ... 0.374 eV/atom

Number 1: mass density 4.77 g cm⁻³, V 186.6 Å³/cell, electronic total energy -3.3278 eV/atom. Number 2: mass density 12.72 g cm⁻³, V 690.5 Å³/cell, electronic total energy -3.4351 eV/atom. Number 3: mass density 5.64 g cm⁻³, V 119.4 Å³/cell, electronic total energy -3.3792 eV/atom. Number 4: mass density 5.92 g cm⁻³, V 283.9 Å³/cell, electronic total energy -5.3013 eV/atom. Number 5: mass density 7.80 g cm⁻³, V 94.2 Å³/cell, electronic total energy -8.1081 eV/atom. Number 6: mass density 3.75 g cm⁻³, V 565.9 Å³/cell, electronic total energy -2.3452 eV/atom. Number 7: mass density 6.61 g cm⁻³, V 431.0 Å³/cell, electronic total energy -1.9871 eV/atom. Number 8: mass density 5.37 g cm⁻³, V 154.0 Å³/cell, electronic total energy -7.2735 eV/atom. Number 9: mass density 6.08 g cm⁻³, V 160.2 Å³/cell, electronic total energy -5.0253 eV/atom. Number 10: mass density 8.10 g cm⁻³, V 184.9 Å³/cell, electronic total energy -6.8189 eV/atom. Number 11: mass density 11.00 g cm⁻³, V 421.0 Å³/cell, electronic total energy -5.1281 eV/atom. Number 12: mass density 7.97 g cm⁻³, V 176.7 Å³/cell, electronic total energy -4.6441 eV/atom. Number 13: mass density 11.71 g cm⁻³, V 146.5 Å³/cell, electronic total energy -3.2068 eV/atom.